# 1
Material: NiBiPtSe2
Method: DFT, PBE-GGA
State: optimized geometry

Final energy ... -3.215 eV/atom
Formation energy without anion corrections ... 1319.6 meV/atom
Total moment ... 0.179 μB per atom
DOS(E_F) ... 1.26 states/eV/atom

The structure in POSCAR format:
```
NiBiPtSe2
1.0
5.463 0.000 0.000
0.000 5.463 0.000
0.000 0.000 4.751
Ni Bi Pt Se
1 1 1 2
direct
0.000 0.000 0.000
0.000 0.000 0.500
0.500 0.500 0.000
0.000 0.500 0.500
0.500 0.000 0.500
```

# 2
Material: SrHg3Pd2
Method: DFT, PBE-GGA
State: optimized geometry

Polymorph energy (0 for the lowest one) ... 0 kJ/mol of formula units
Formation energy from the elements ... -2.28 eV/f.u.
Final energy ... -2.542 eV/atom
Total moment ... 0.000 μB per atom
DOS(E_F) ... 0.31 states/eV/atom

The structure in POSCAR format:
```
SrHg3Pd2
1.0
5.033 -4.684 0.000
5.033 4.684 0.000
0.000 0.000 5.902
Sr Hg Pd
2 6 4
direct
0.133 0.867 0.750
0.867 0.133 0.250
0.068 0.594 0.250
0.406 0.932 0.250
0.482 0.518 0.750
0.518 0.482 0.250
0.594 0.068 0.750
0.932 0.406 0.750
0.260 0.260 0.000
0.260 0.260 0.500
0.740 0.740 0.000
0.740 0.740 0.500
```